# LaTaMoO6 PBE with a Hubbard U relaxed
# uncorrected energy = -8.58 eV per atom
data_LaTaMoO6
_chemical_formula_sum 'La2 Ta2 Mo2 O12'
_cell_length_a 4.9930
_cell_length_b 4.9930
_cell_length_c 9.9903
_cell_angle_alpha 90.00
_cell_angle_beta 90.00
_cell_angle_gamma 90.00
_space_group_name_H-M_alt 'P 1'
_space_group_IT_number 1
loop_
_space_group_symop_operation_xyz
'x,y,z'
loop_
_atom_site_label
_atom_site_fract_x
_atom_site_fract_y
_atom_site_fract_z
O1 0.2803 0.2803 0.3113
O2 0.8281 0.1719 0.4959
O3 0.1719 0.8281 0.4959
O4 0.7803 0.2197 0.8113
O5 0.2197 0.7803 0.8113
O6 0.2102 0.7898 0.1934
O7 0.2898 0.2898 0.6934
O8 0.7102 0.7102 0.6934
O9 0.7197 0.7197 0.3113
O10 0.6719 0.6719 0.9959
O11 0.3281 0.3281 0.9959
O12 0.7898 0.2102 0.1934
La1 0.0000 0.0000 0.9966
La2 0.5000 0.5000 0.4966
Mo1 0.5000 0.5000 0.1687
Mo2 0.0000 0.0000 0.6687
Ta1 0.5000 0.5000 0.8335
Ta2 0.0000 0.0000 0.3335